(1)
CrCuGe2Te6: optimized geometry, GGA-PBE.

Calculated values
VASP energy: -4.185 eV per atom
Formation energy without anion corrections: -0.04 eV/f.u.

a = 13.528 Å, b = 12.358 Å, c = 7.146 Å
α = 90.00°, β = 101.48°, γ = 90.00°
Space group C2/c (No. 15)
Symmetry-distinct sites (fractional):
Cr 0.000 0.092 0.250
Cu 0.000 0.245 0.750
Ge 0.186 0.410 0.299
Te 0.102 0.081 0.619
Te 0.116 0.406 0.624
Te 0.121 0.229 0.098



(2)
CrCuGe2W: optimized geometry, GGA-PBE.

Calculated values
VASP energy: -5.659 eV per atom
ΔE_f: 734 kJ/mol of formula units

a = 4.797 Å, b = 4.797 Å, c = 4.764 Å
α = 90.00°, β = 90.00°, γ = 90.00°
Space group P4/mmm (No. 123)
Symmetry-distinct sites (fractional):
Cr 0.000 0.000 0.000
Cu 0.500 0.500 0.000
Ge 0.000 0.500 0.500
W 0.500 0.500 0.500



(3)
Zn2CrCuGe: optimized geometry, GGA-PBE.

Calculated values
VASP energy: -3.339 eV per atom
ΔE_f: 404 kJ/mol of formula units

a = 4.787 Å, b = 4.787 Å, c = 4.621 Å
α = 90.00°, β = 90.00°, γ = 90.00°
Space group P4/mmm (No. 123)
Symmetry-distinct sites (fractional):
Zn 0.000 0.500 0.000
Cr 0.000 0.000 0.000
Cu 0.500 0.500 0.500
Ge 0.000 0.000 0.500



(4)
CrCuH3: optimized geometry, GGA-PBE.

Calculated values
VASP energy: -4.376 eV per atom
Excess energy over the best structure of this formula in the dataset: 62 meV/atom

a = 3.380 Å, b = 3.380 Å, c = 3.380 Å
α = 90.00°, β = 90.00°, γ = 90.00°
Space group Pm-3m (No. 221)
Symmetry-distinct sites (fractional):
Cr 0.000 0.000 0.000
Cu 0.500 0.500 0.500
H 0.000 0.500 0.500



(5)
CrCu2H: optimized geometry, GGA-PBE.

Calculated values
VASP energy: -4.403 eV per atom
Excess energy over the best structure of this formula in the dataset: 213 meV/atom

a = 5.736 Å, b = 5.736 Å, c = 5.736 Å
α = 90.00°, β = 90.00°, γ = 90.00°
Space group Fm-3m (No. 225)
Symmetry-distinct sites (fractional):
Cr 0.000 0.000 0.000
Cu 0.250 0.250 0.250
H 0.000 0.000 0.500



(6)
CrCuH2: optimized geometry, GGA-PBE.

Calculated values
VASP energy: -4.827 eV per atom
Excess energy over the best structure of this formula in the dataset: 145 meV/atom

a = 4.068 Å, b = 4.068 Å, c = 7.443 Å
α = 90.00°, β = 90.00°, γ = 90.00°
Space group I-42d (No. 122)
Symmetry-distinct sites (fractional):
Cr 0.000 0.000 0.000
Cu 0.000 0.000 0.500
H 0.246 0.250 0.125



Question: Which formula does entry 6 have?
Answer: CrCuH2



Question: Which value of VASP energy does entry 4 give?
Answer: -4.376 eV per atom